## A
This record from Alexandria via LeMat-Bulk describes a relaxed GdPuRh crystal. The functional is PBE-GGA.

Calculated values
Space group ... F-43m (216)

a b c (Å): 4.8172 4.8172 4.8172
angles (deg): 60.00 60.00 60.00
Last column: nearest neighbours and their distance in Å.
Sites, in units of the cell vectors:
Gd 0.0000 0.0000 0.0000  4 Rh 2.95
Pu 0.5000 0.5000 0.5000  4 Rh 2.95
Rh 0.7500 0.7500 0.7500  4 Gd 2.95, 4 Pu 2.95

=====

## B
This record from Alexandria via LeMat-Bulk describes a relaxed GdPuRh crystal. The functional is PBE-GGA.

Calculated values
Space group ... P3m1 (156)

a b c (Å): 4.7984 4.7984 3.3060
angles (deg): 90.00 90.00 120.00
Last column: nearest neighbours and their distance in Å.
Sites, in units of the cell vectors:
Gd 0.0000 0.0000 0.0000  3 Rh 3.02, 3 Pu 3.06, 2 Gd 3.31
Pu 0.3333 0.6667 0.6037  3 Rh 2.88, 3 Gd 3.06
Rh 0.6667 0.3333 0.3657  3 Pu 2.88, 3 Gd 3.02

=====

## C
This record from Alexandria via LeMat-Bulk describes a relaxed GdPuRh crystal. The functional is PBE-GGA.

Calculated values
Space group ... I4mm (107)

a b c (Å): 6.2708 6.2708 6.2708
angles (deg): 147.31 147.31 46.90
Last column: nearest neighbours and their distance in Å.
Sites, in units of the cell vectors:
Gd 0.0000 0.0000 0.0000  4 Rh 3.01, 1 Pu 3.22
Pu 0.7202 0.7202 0.0000  4 Rh 2.93, 1 Gd 3.22
Rh 0.3542 0.3542 0.0000  4 Pu 2.93, 4 Gd 3.01

=====

Stability ranking, top entry: C; the second entry is 27 meV/atom less favorable.

=====

## A
This record from Alexandria via LeMat-Bulk describes a relaxed GdPuRh2 crystal. The functional is PBE-GGA.

Calculated values
Space group ... Fm-3m (225)

a b c (Å): 4.8708 4.8708 4.8708
angles (deg): 60.00 60.00 60.00
Last column: nearest neighbours and their distance in Å.
Sites, in units of the cell vectors:
Gd 0.0000 0.0000 0.0000  8 Rh 2.98
Pu 0.5000 0.5000 0.5000  8 Rh 2.98
Rh 0.2500 0.2500 0.2500  4 Pu 2.98, 4 Gd 2.98
Rh 0.7500 0.7500 0.7500  4 Pu 2.98, 4 Gd 2.98

=====

## B
This record from Alexandria via LeMat-Bulk describes a relaxed GdPuRh2 crystal. The functional is PBE-GGA.

Calculated values
Space group ... P4/mmm (123)

a b c (Å): 4.9290 4.9290 3.3606
angles (deg): 90.00 90.00 90.00
Last column: nearest neighbours and their distance in Å.
Sites, in units of the cell vectors:
Gd 0.0000 0.0000 0.0000  8 Rh 2.98
Pu 0.5000 0.5000 0.0000  8 Rh 2.98
Rh 0.0000 0.5000 0.5000  4 Gd 2.98, 4 Pu 2.98
Rh 0.5000 0.0000 0.5000  4 Gd 2.98, 4 Pu 2.98

=====

Stability ranking, top entry: B; the second entry is 8 meV/atom less favorable.

=====

## A
This record from Alexandria via LeMat-Bulk describes a relaxed GdPuSb2 crystal. The functional is PBE-GGA.

Calculated values
Space group ... Fm-3m (225)

a b c (Å): 5.3743 5.3743 5.3743
angles (deg): 60.00 60.00 60.00
Last column: nearest neighbours and their distance in Å.
Sites, in units of the cell vectors:
Gd 0.0000 0.0000 0.0000  8 Sb 3.29
Pu 0.5000 0.5000 0.5000  8 Sb 3.29
Sb 0.2500 0.2500 0.2500  4 Pu 3.29, 4 Gd 3.29
Sb 0.7500 0.7500 0.7500  4 Gd 3.29, 4 Pu 3.29

=====

## B
This record from Alexandria via LeMat-Bulk describes a relaxed GdPuSb2 crystal. The functional is PBE-GGA.

Calculated values
Space group ... R-3m (166)

a b c (Å): 7.6509 7.6509 7.6509
angles (deg): 33.70 33.70 33.70
Last column: nearest neighbours and their distance in Å.
Sites, in units of the cell vectors:
Gd 0.0000 0.0000 0.0000  6 Sb 3.14
Pu 0.5000 0.5000 0.5000  6 Sb 3.12
Sb 0.2494 0.2494 0.2494  3 Pu 3.12, 3 Gd 3.14
Sb 0.7506 0.7506 0.7506  3 Pu 3.12, 3 Gd 3.14

=====

## C
This record from Alexandria via LeMat-Bulk describes a relaxed GdPuSb2 crystal. The functional is PBE-GGA.

Calculated values
Space group ... P4/mmm (123)

a b c (Å): 5.6955 5.6955 3.3313
angles (deg): 90.00 90.00 90.00
Last column: nearest neighbours and their distance in Å.
Sites, in units of the cell vectors:
Gd 0.0000 0.0000 0.0000  8 Sb 3.30, 2 Gd 3.33
Pu 0.5000 0.5000 0.0000  8 Sb 3.30, 2 Pu 3.33
Sb 0.0000 0.5000 0.5000  4 Gd 3.30, 4 Pu 3.30, 2 Sb 3.33
Sb 0.5000 0.0000 0.5000  4 Gd 3.30, 4 Pu 3.30, 2 Sb 3.33

=====

Stability ranking, top entry: B; the second entry is 123 meV/atom less favorable.

=====

## A
This record from Alexandria via LeMat-Bulk describes a relaxed GdPu2Sb crystal. The functional is PBE-GGA.

Calculated values
Space group ... R-3m (166)

a b c (Å): 12.2582 12.2582 12.2582
angles (deg): 15.87 15.87 15.87
Last column: nearest neighbours and their distance in Å.
Sites, in units of the cell vectors:
Gd 0.0000 0.0000 0.0000  6 Gd 3.38, 6 Pu 3.51
Pu 0.4138 0.4138 0.4138  1 Sb 3.13, 6 Pu 3.38
Pu 0.5862 0.5862 0.5862  1 Sb 3.13, 6 Pu 3.38
Sb 0.5000 0.5000 0.5000  2 Pu 3.13, 6 Sb 3.38

=====

## B
This record from Alexandria via LeMat-Bulk describes a relaxed GdPu2Sb crystal. The functional is PBE-GGA.

Calculated values
Space group ... P4/mmm (123)

a b c (Å): 4.5807 4.5807 4.9621
angles (deg): 90.00 90.00 90.00
Last column: nearest neighbours and their distance in Å.
Sites, in units of the cell vectors:
Gd 0.0000 0.0000 0.0000  4 Sb 3.24, 8 Pu 3.38
Pu 0.0000 0.5000 0.5000  4 Pu 3.24, 4 Gd 3.38, 4 Sb 3.38
Pu 0.5000 0.0000 0.5000  4 Pu 3.24, 4 Gd 3.38, 4 Sb 3.38
Sb 0.5000 0.5000 0.0000  4 Gd 3.24, 8 Pu 3.38

=====

Stability ranking, top entry: B; the second entry is 647 meV/atom less favorable.

=====

## A
This record from Alexandria via LeMat-Bulk describes a relaxed GdPuSc crystal. The functional is PBE-GGA.

Calculated values
Space group ... P-6m2 (187)

a b c (Å): 5.4420 5.4420 3.2017
angles (deg): 90.00 90.00 120.00
Last column: nearest neighbours and their distance in Å.
Sites, in units of the cell vectors:
Gd 0.0000 0.0000 0.0000  3 Sc 3.14, 2 Gd 3.20
Pu 0.3333 0.6667 0.5000  2 Pu 3.20, 6 Gd 3.53, 6 Sc 3.53
Sc 0.6667 0.3333 0.0000  3 Gd 3.14, 2 Sc 3.20

=====

## B
This record from Alexandria via LeMat-Bulk describes a relaxed GdPuSc crystal. The functional is PBE-GGA.

Calculated values
Space group ... I4mm (107)

a b c (Å): 9.1597 9.1597 9.1597
angles (deg): 160.37 160.37 27.91
Last column: nearest neighbours and their distance in Å.
Sites, in units of the cell vectors:
Gd 0.0000 0.0000 0.0000  4 Gd 3.12, 1 Pu 3.17, 4 Sc 3.41
Pu 0.8218 0.8218 0.0000  4 Pu 3.12, 1 Sc 3.13, 1 Gd 3.17
Sc 0.6459 0.6459 0.0000  4 Sc 3.12, 1 Pu 3.13, 4 Gd 3.41

=====

Stability ranking, top entry: A; the second entry is 310 meV/atom less favorable.

=====

## A
This record from Alexandria via LeMat-Bulk describes a relaxed TbGdPu2 crystal. The functional is PBE-GGA.

Calculated values
Space group ... P4/mmm (123)

a b c (Å): 3.9694 3.9694 7.4245
angles (deg): 90.00 90.00 90.00
Last column: nearest neighbours and their distance in Å.
Sites, in units of the cell vectors:
Tb 0.0000 0.0000 0.0000  8 Pu 3.36, 2 Gd 3.71
Gd 0.0000 0.0000 0.5000  8 Pu 3.37, 2 Tb 3.71
Pu 0.5000 0.5000 0.2497  4 Tb 3.36, 4 Gd 3.37, 2 Pu 3.71-3.72
Pu 0.5000 0.5000 0.7503  4 Tb 3.36, 4 Gd 3.37, 2 Pu 3.71-3.72

=====

## B
This record from Alexandria via LeMat-Bulk describes a relaxed TbGdPu2 crystal. The functional is PBE-GGA.

Calculated values
Space group ... Fm-3m (225)

a b c (Å): 5.5173 5.5173 5.5173
angles (deg): 60.00 60.00 60.00
Last column: nearest neighbours and their distance in Å.
Sites, in units of the cell vectors:
Tb 0.0000 0.0000 0.0000  8 Pu 3.38
Gd 0.5000 0.5000 0.5000  8 Pu 3.38
Pu 0.2500 0.2500 0.2500  4 Gd 3.38, 4 Tb 3.38
Pu 0.7500 0.7500 0.7500  4 Gd 3.38, 4 Tb 3.38

=====

Stability ranking, top entry: A; the second entry is 16 meV/atom less favorable.

=====

## A
This record from Alexandria via LeMat-Bulk describes a relaxed GdPuTc crystal. The functional is PBE-GGA.

Calculated values
Space group ... I4mm (107)

a b c (Å): 6.4878 6.4878 6.4878
angles (deg): 149.69 149.69 43.39
Last column: nearest neighbours and their distance in Å.
Sites, in units of the cell vectors:
Gd 0.0000 0.0000 0.0000  4 Tc 3.04, 4 Gd 3.39
Pu 0.7177 0.7177 0.0000  4 Tc 2.85
Tc 0.3454 0.3454 0.0000  4 Pu 2.85, 4 Gd 3.04

=====

## B
This record from Alexandria via LeMat-Bulk describes a relaxed GdPuTc crystal. The functional is PBE-GGA.

Calculated values
Space group ... P-6m2 (187)

a b c (Å): 4.6626 4.6626 3.5686
angles (deg): 90.00 90.00 120.00
Last column: nearest neighbours and their distance in Å.
Sites, in units of the cell vectors:
Gd 0.0000 0.0000 0.0000  6 Tc 3.23, 6 Pu 3.23, 2 Gd 3.57
Pu 0.6667 0.3333 0.5000  3 Tc 2.69
Tc 0.3333 0.6667 0.5000  3 Pu 2.69

=====

Stability ranking, top entry: A; the second entry is 61 meV/atom less favorable.

=====

## A
This record from Alexandria via LeMat-Bulk describes a relaxed GdPu2Tc crystal. The functional is PBE-GGA.

Calculated values
Space group ... R-3m (166)

a b c (Å): 8.7466 8.7466 8.7466
angles (deg): 25.15 25.15 25.15
Last column: nearest neighbours and their distance in Å.
Sites, in units of the cell vectors:
Gd 0.0000 0.0000 0.0000  6 Pu 3.46, 6 Gd 3.81
Pu 0.2279 0.2279 0.2279  3 Tc 2.69
Pu 0.7721 0.7721 0.7721  3 Tc 2.69
Tc 0.5000 0.5000 0.5000  6 Pu 2.69

=====

## B
This record from Alexandria via LeMat-Bulk describes a relaxed GdPu2Tc crystal. The functional is PBE-GGA.

Calculated values
Space group ... P4/mmm (123)

a b c (Å): 3.3380 3.3380 8.6727
angles (deg): 90.00 90.00 90.00
Last column: nearest neighbours and their distance in Å.
Sites, in units of the cell vectors:
Gd 0.0000 0.0000 0.0000  4 Gd 3.34, 8 Pu 3.52
Pu 0.5000 0.5000 0.3011  4 Tc 2.92
Pu 0.5000 0.5000 0.6989  4 Tc 2.92
Tc 0.0000 0.0000 0.5000  8 Pu 2.92

=====

Stability ranking, top entry: B; the second entry is 204 meV/atom less favorable.